Entry 1:
# MnZnSi2

An optimized crystal structure of MnZnSi2 (PBE, the Alexandria database).

ΔE_f (raw) = 152 meV/atom
ρ = 5.46 Mg/m³
crystal system = orthorhombic
energy = -0.38000 Ry per atom

Unit cell a=2.649 b=2.649 c=7.655 alpha=90.00 beta=90.00 gamma=91.35
Fractional coordinates of all 4 atoms:
Mn  0.000  0.000  0.000
Zn  0.500  0.500  0.247
Si  0.000  0.000  0.525
Si  0.500  0.500  0.788

***

Entry 2:
# RbBeSi

An optimized crystal structure of RbBeSi (PBE, the Alexandria database).

energy relative to the lowest polymorph listed for this composition = 61 meV per atom
ΔE_f (raw) = 162 meV/atom
ρ = 1.96 Mg/m³
crystal system = triclinic
energy = -0.23599 Ry per atom

Unit cell a=3.838 b=5.649 c=10.355 alpha=90.91 beta=99.74 gamma=109.79
Fractional coordinates of all 6 atoms:
Rb  0.221  0.205  0.263
Rb  0.779  0.795  0.737
Be  0.190  0.414  0.963
Be  0.810  0.586  0.037
Si  0.426  0.806  0.050
Si  0.574  0.194  0.950

***

Entry 3:
# Er2Ga9Ni6

An optimized crystal structure of Er2Ga9Ni6 (PBE, the Alexandria database).

ρ = 7.74 Mg/m³
DFT formation energy = -8.2 kcal/mol of atoms
crystal system = hexagonal
energy = -0.33347 Ry per atom

Unit cell a=5.270 b=5.270 c=11.717 alpha=90.00 beta=90.00 gamma=120.00
Fractional coordinates of all 17 atoms:
Er  0.000  0.000  0.161
Er  0.000  0.000  0.839
Ga  0.000  0.500  0.000
Ga  0.000  0.500  0.339
Ga  0.000  0.500  0.661
Ga  0.500  0.000  0.000
Ga  0.500  0.000  0.339
Ga  0.500  0.000  0.661
Ga  0.500  0.500  0.000
Ga  0.500  0.500  0.339
Ga  0.500  0.500  0.661
Ni  0.333  0.667  0.172
Ni  0.333  0.667  0.500
Ni  0.333  0.667  0.828
Ni  0.667  0.333  0.172
Ni  0.667  0.333  0.500
Ni  0.667  0.333  0.828

***

Entry 4:
# TlCrCo

An optimized crystal structure of TlCrCo (PBE, the Alexandria database).

ρ = 10.67 Mg/m³
DFT formation energy = 16.8 kcal/mol of atoms
crystal system = trigonal
energy = -0.41416 Ry per atom

Unit cell a=2.997 b=2.997 c=6.310 alpha=90.00 beta=90.00 gamma=120.00
Fractional coordinates of all 3 atoms:
Tl  0.000  0.000  0.000
Cr  0.333  0.667  0.622
Co  0.667  0.333  0.359

***

Entry 5:
# Cd3SnHg3

An optimized crystal structure of Cd3SnHg3 (PBE, the Alexandria database).

energy relative to the lowest polymorph listed for this composition = 366 meV per atom
ρ = 7.07 Mg/m³
DFT formation energy = 9.6 kcal/mol of atoms
crystal system = cubic
energy = -0.04961 Ry per atom

Unit cell a=7.920 b=7.920 c=7.920 alpha=90.00 beta=90.00 gamma=90.00
Fractional coordinates of all 14 atoms:
Cd  0.000  0.250  0.500
Cd  0.000  0.750  0.500
Cd  0.250  0.500  0.000
Cd  0.500  0.000  0.250
Cd  0.500  0.000  0.750
Cd  0.750  0.500  0.000
Sn  0.000  0.000  0.000
Sn  0.500  0.500  0.500
Hg  0.000  0.500  0.250
Hg  0.000  0.500  0.750
Hg  0.250  0.000  0.500
Hg  0.500  0.250  0.000
Hg  0.500  0.750  0.000
Hg  0.750  0.000  0.500

***

Entry 6:
# Pr12Y5Tm2

An optimized crystal structure of Pr12Y5Tm2 (PBE, the Alexandria database).

energy relative to the lowest polymorph listed for this composition = 0 meV per atom
ρ = 6.11 Mg/m³
DFT formation energy = 3.1 kcal/mol of atoms
crystal system = monoclinic
energy = -0.37170 Ry per atom

Unit cell a=11.866 b=11.866 c=8.845 alpha=109.60 beta=109.60 gamma=35.20
Fractional coordinates of all 19 atoms:
Pr  0.047  0.552  0.706
Pr  0.048  0.048  0.196
Pr  0.139  0.651  0.116
Pr  0.349  0.861  0.884
Pr  0.360  0.360  0.446
Pr  0.448  0.953  0.294
Pr  0.552  0.047  0.706
Pr  0.640  0.640  0.554
Pr  0.651  0.139  0.116
Pr  0.861  0.349  0.884
Pr  0.952  0.952  0.804
Pr  0.953  0.448  0.294
Y  0.149  0.149  0.598
Y  0.251  0.251  0.009
Y  0.500  0.500  0.000
Y  0.749  0.749  0.991
Y  0.851  0.851  0.402
Tm  0.241  0.759  0.500
Tm  0.759  0.241  0.500

***

Entry 7:
# LaHo2Ir

An optimized crystal structure of LaHo2Ir (PBE, the Alexandria database).

energy relative to the lowest polymorph listed for this composition = 0 meV per atom
ρ = 9.78 Mg/m³
DFT formation energy = -12.9 kcal/mol of atoms
crystal system = orthorhombic
energy = -0.46262 Ry per atom

Unit cell a=7.301 b=9.444 c=6.508 alpha=90.00 beta=90.00 gamma=90.00
Fractional coordinates of all 16 atoms:
La  0.040  0.250  0.136
La  0.460  0.750  0.636
La  0.540  0.250  0.364
La  0.960  0.750  0.864
Ho  0.173  0.066  0.668
Ho  0.173  0.434  0.668
Ho  0.327  0.566  0.168
Ho  0.327  0.934  0.168
Ho  0.673  0.066  0.832
Ho  0.673  0.434  0.832
Ho  0.827  0.566  0.332
Ho  0.827  0.934  0.332
Ir  0.121  0.750  0.434
Ir  0.379  0.250  0.934
Ir  0.621  0.750  0.066
Ir  0.879  0.250  0.566

***

Entry 8:
# MgPd3Au

An optimized crystal structure of MgPd3Au (PBE, the Alexandria database).

energy relative to the lowest polymorph listed for this composition = 920 meV per atom
ρ = 9.32 Mg/m³
DFT formation energy = 11.3 kcal/mol of atoms
crystal system = cubic
energy = -0.26448 Ry per atom

Unit cell a=4.584 b=4.584 c=4.584 alpha=90.00 beta=90.00 gamma=90.00
Fractional coordinates of all 5 atoms:
Mg  0.000  0.000  0.000
Pd  0.000  0.000  0.500
Pd  0.000  0.500  0.000
Pd  0.500  0.000  0.000
Au  0.500  0.500  0.500